# RbPmV2O6

A relaxed RbPmV2O6 crystal (PBE with a Hubbard U, Alexandria via LeMat-Bulk).

space group: No. 15
DFT total energy: -7.376 eV/atom

a = 7.537 Å, b = 7.537 Å, c = 6.147 Å
α = 100.13°, β = 100.13°, γ = 86.74°
Last column: magnetic moment on the atom in μB.
Positions (direct):
Rb  0.823  0.177  0.750  0.00
Rb  0.177  0.823  0.250  0.00
V  0.870  0.697  0.703  1.01
V  0.130  0.303  0.297  1.01
V  0.303  0.130  0.797  1.01
V  0.697  0.870  0.203  1.01
O  0.848  0.821  0.463  -0.03
O  0.152  0.179  0.537  -0.03
O  0.541  0.682  0.125  -0.01
O  0.318  0.459  0.375  -0.01
O  0.382  0.907  0.724  -0.03
O  0.682  0.541  0.625  -0.01
O  0.093  0.618  0.776  -0.03
O  0.179  0.152  0.037  -0.03
O  0.618  0.093  0.276  -0.03
O  0.907  0.382  0.224  -0.03
O  0.459  0.318  0.875  -0.01
O  0.821  0.848  0.963  -0.03
Pm  0.397  0.603  0.750  0.01
Pm  0.603  0.397  0.250  0.01